Entry 1:
Density functional theory data (GGA-PBE) for an optimized crystal structure of NdInAg.

The structure belongs to space group F-43m (No. 216); the cell edges are 6.946, 6.946 and 6.946 Å and the angles 90.00°, 90.00° and 90.00°. The asymmetric unit holds Nd at (0.000, 0.000, 0.000), In at (0.000, 0.000, 0.500) and Ag at (0.250, 0.250, 0.250).

For the total energy, the calculation gives -3.7531 eV/atom. The calculation puts the energy of formation from the pure elements at -301 meV per atom. The calculation puts the density of states at the Fermi level at 4.5 states/eV/f.u.

=====

Entry 2:
Density functional theory data (GGA-PBE) for an optimized crystal structure of SrMgRe2.

The structure belongs to space group I4/mmm (No. 139); the cell edges are 3.975, 3.975 and 9.822 Å and the angles 90.00°, 90.00° and 90.00°. The asymmetric unit holds Sr at (0.000, 0.000, 0.000), Mg at (0.000, 0.000, 0.500) and Re at (0.000, 0.500, 0.250).

For the total energy, the calculation gives -6.0029 eV/atom. The calculation puts the energy of formation from the pure elements at 1040 meV per atom. The calculation puts the density of states at the Fermi level at 2.7 states/eV/f.u.

=====

Entry 3:
Density functional theory data (GGA-PBE) for an optimized crystal structure of TlPdO2F.

The structure belongs to space group P4/mmm (No. 123); the cell edges are 4.289, 4.289 and 4.391 Å and the angles 90.00°, 90.00° and 90.00°. The asymmetric unit holds Tl at (0.000, 0.000, 0.000), Pd at (0.500, 0.500, 0.500), O at (0.000, 0.500, 0.000) and F at (0.000, 0.000, 0.500).

For the total energy, the calculation gives -3.8745 eV/atom. For the uncorrected formation energy, the calculation gives -5 meV per atom. The calculation puts the density of states at the Fermi level at 4.6 states/eV/f.u.

=====

Entry 4:
Density functional theory data (GGA-PBE) for an optimized crystal structure of Ho8P3HSe4.

The structure belongs to space group R-3m (No. 166, hexagonal axes); the cell edges are 7.9130, 7.9130 and 19.8218 Å and the angles 90.00°, 90.00° and 120.00°. The asymmetric unit holds Ho at (0.0000, 0.0000, 0.2422), Ho at (0.0039, 0.5019, 0.7562), P at (0.0000, 0.5000, 0.5000), H at (0.0000, 0.0000, 0.5000), Se at (0.0000, 0.0000, 0.0000) and Se at (0.0000, 0.5000, 0.0000).

For the total energy, the calculation gives -5.9287 eV/atom. The calculation puts the density of states at the Fermi level at 6.1 states/eV/f.u.

=====

Entry 5:
Density functional theory data (GGA-PBE) for an optimized crystal structure of Sm4Te2Ir.

The structure belongs to space group P2/m (No. 10); the cell edges are 7.889, 4.140 and 8.152 Å and the angles 90.00°, 113.08° and 90.00°. The asymmetric unit holds Sm at (0.077, 0.000, 0.312), Sm at (0.358, 0.500, 0.766), Te at (0.293, 0.000, 0.052) and Ir at (0.000, 0.500, 0.500).

For the total energy, the calculation gives -5.7570 eV/atom. For the uncorrected formation energy, the calculation gives -897 meV per atom. The calculation puts the density of states at the Fermi level at 5.0 states/eV/f.u.

=====

Entry 6:
Density functional theory data (GGA-PBE) for an optimized crystal structure of Zr2P2Pt.

The structure belongs to space group I4/mmm (No. 139); the cell edges are 5.057, 5.057 and 7.608 Å and the angles 90.00°, 90.00° and 90.00°. The asymmetric unit holds Zr at (0.000, 0.500, 0.250), P at (0.000, 0.000, 0.182) and Pt at (0.000, 0.000, 0.500).

For the total energy, the calculation gives -7.6193 eV/atom. The calculation puts the energy of formation from the pure elements at -828 meV per atom. The calculation puts the density of states at the Fermi level at 4.0 states/eV/f.u. Its energy above the lowest structure with this stoichiometry is 205 meV/atom.

=====

Entry 7:
Density functional theory data (GGA-PBE) for an optimized crystal structure of AcNdGe4.

The structure belongs to space group Pbam (No. 55); the cell edges are 7.794, 17.900 and 4.362 Å and the angles 90.00°, 90.00° and 90.00°. The asymmetric unit holds Ac at (0.149, 0.173, 0.000), Nd at (0.152, 0.417, 0.000), Ge at (0.020, 0.681, 0.500), Ge at (0.062, 0.932, 0.500), Ge at (0.164, 0.542, 0.500) and Ge at (0.193, 0.803, 0.500).

For the total energy, the calculation gives -5.1178 eV/atom. The calculation puts the energy of formation from the pure elements at -560 meV per atom. The calculation puts the density of states at the Fermi level at 2.1 states/eV/f.u. Its energy above the lowest structure with this stoichiometry is 0 meV/atom.

=====

Entry 8:
Density functional theory data (GGA-PBE) for an optimized crystal structure of Ca2PaTcO8.

The structure belongs to space group Cmmm (No. 65); the cell edges are 7.079, 7.339 and 6.708 Å and the angles 90.00°, 90.00° and 90.00°. The asymmetric unit holds Ca at (0.000, 0.000, 0.243), Pa at (0.000, 0.500, 0.500), Tc at (0.000, 0.500, 0.000), O at (0.000, 0.324, 0.217), O at (0.215, 0.000, 0.500) and O at (0.239, 0.000, 0.000).

For the total energy, the calculation gives -7.8318 eV/atom. For the uncorrected formation energy, the calculation gives -2538 meV per atom.